No. 1
# Rb2AgCl PBE relaxed
data_Rb2AgCl
_chemical_formula_sum 'Rb2 Ag1 Cl1'
_symmetry_space_group_name_H-M 'P 1'
_symmetry_Int_Tables_number 1
_cell_length_a 5.942
_cell_length_b 5.942
_cell_length_c 5.942
_cell_angle_alpha 60.00
_cell_angle_beta 60.00
_cell_angle_gamma 60.00
loop_
_symmetry_equiv_pos_as_xyz
'x,y,z'
loop_
_atom_site_label
_atom_site_fract_x
_atom_site_fract_y
_atom_site_fract_z
_atom_site_occupancy
Rb1 0.250 0.250 0.250 1
Rb2 0.750 0.750 0.750 1
Ag1 0.000 0.000 0.000 1
Cl1 0.500 0.500 0.500 1
# **Formation energy without anion corrections**: -0.814 eV/atom
# **Total moment**: 0.00 μB per formula unit
# **Total DFT energy (no corrections)**: -9.9 eV per cell

***

No. 2
# RbAgCl2 PBE relaxed
data_RbAgCl2
_chemical_formula_sum 'Rb1 Ag1 Cl2'
_symmetry_space_group_name_H-M 'P 1'
_symmetry_Int_Tables_number 1
_cell_length_a 8.948
_cell_length_b 8.948
_cell_length_c 8.948
_cell_angle_alpha 28.25
_cell_angle_beta 28.25
_cell_angle_gamma 28.25
loop_
_symmetry_equiv_pos_as_xyz
'x,y,z'
loop_
_atom_site_label
_atom_site_fract_x
_atom_site_fract_y
_atom_site_fract_z
_atom_site_occupancy
Rb1 0.000 0.000 0.000 1
Ag1 0.500 0.500 0.500 1
Cl1 0.114 0.114 0.114 1
Cl2 0.886 0.886 0.886 1
# **Formation energy without anion corrections**: -0.825 eV/atom
# **Total moment**: 0.00 μB per formula unit
# **Total DFT energy (no corrections)**: -10.8 eV per cell

***

No. 3
# Rb3AgCl4 PBE relaxed
data_Rb3AgCl4
_chemical_formula_sum 'Rb12 Ag4 Cl16'
_symmetry_space_group_name_H-M 'P 1'
_symmetry_Int_Tables_number 1
_cell_length_a 8.825
_cell_length_b 11.573
_cell_length_c 10.398
_cell_angle_alpha 90.00
_cell_angle_beta 90.00
_cell_angle_gamma 90.00
loop_
_symmetry_equiv_pos_as_xyz
'x,y,z'
loop_
_atom_site_label
_atom_site_fract_x
_atom_site_fract_y
_atom_site_fract_z
_atom_site_occupancy
Rb1 0.012 0.035 0.218 1
Rb2 0.012 0.465 0.218 1
Rb3 0.123 0.750 0.452 1
Rb4 0.377 0.250 0.952 1
Rb5 0.488 0.535 0.718 1
Rb6 0.488 0.965 0.718 1
Rb7 0.512 0.035 0.282 1
Rb8 0.512 0.465 0.282 1
Rb9 0.623 0.750 0.048 1
Rb10 0.877 0.250 0.548 1
Rb11 0.988 0.535 0.782 1
Rb12 0.988 0.965 0.782 1
Ag1 0.198 0.750 0.008 1
Ag2 0.302 0.250 0.508 1
Ag3 0.698 0.750 0.492 1
Ag4 0.802 0.250 0.992 1
Cl1 0.033 0.250 0.836 1
Cl2 0.208 0.037 0.515 1
Cl3 0.208 0.463 0.515 1
Cl4 0.229 0.750 0.747 1
Cl5 0.271 0.250 0.247 1
Cl6 0.292 0.537 0.015 1
Cl7 0.292 0.963 0.015 1
Cl8 0.467 0.750 0.336 1
Cl9 0.533 0.250 0.664 1
Cl10 0.708 0.037 0.985 1
Cl11 0.708 0.463 0.985 1
Cl12 0.729 0.750 0.753 1
Cl13 0.771 0.250 0.253 1
Cl14 0.792 0.537 0.485 1
Cl15 0.792 0.963 0.485 1
Cl16 0.967 0.750 0.164 1
# **Formation energy without anion corrections**: -1.546 eV/atom
# **Total moment**: 0.00 μB per formula unit
# **Total DFT energy (no corrections)**: -102.0 eV per cell

***

No. 4
# Rb2AgCl PBE relaxed
data_Rb2AgCl
_chemical_formula_sum 'Rb2 Ag1 Cl1'
_symmetry_space_group_name_H-M 'P 1'
_symmetry_Int_Tables_number 1
_cell_length_a 4.103
_cell_length_b 4.103
_cell_length_c 8.517
_cell_angle_alpha 90.00
_cell_angle_beta 90.00
_cell_angle_gamma 90.00
loop_
_symmetry_equiv_pos_as_xyz
'x,y,z'
loop_
_atom_site_label
_atom_site_fract_x
_atom_site_fract_y
_atom_site_fract_z
_atom_site_occupancy
Rb1 0.000 0.000 0.229 1
Rb2 0.000 0.000 0.771 1
Ag1 0.500 0.500 0.500 1
Cl1 0.500 0.500 0.000 1
# **Formation energy without anion corrections**: -0.868 eV/atom
# **Total moment**: 0.00 μB per formula unit
# **Total DFT energy (no corrections)**: -10.1 eV per cell

***

No. 5
# Rb12Ag5Cl3 PBE relaxed
data_Rb12Ag5Cl3
_chemical_formula_sum 'Rb48 Ag20 Cl12'
_symmetry_space_group_name_H-M 'P 1'
_symmetry_Int_Tables_number 1
_cell_length_a 17.891
_cell_length_b 17.891
_cell_length_c 17.891
_cell_angle_alpha 109.47
_cell_angle_beta 109.47
_cell_angle_gamma 109.47
loop_
_symmetry_equiv_pos_as_xyz
'x,y,z'
loop_
_atom_site_label
_atom_site_fract_x
_atom_site_fract_y
_atom_site_fract_z
_atom_site_occupancy
Rb1 0.058 0.233 0.122 1
Rb2 0.058 0.325 0.936 1
Rb3 0.064 0.622 0.389 1
Rb4 0.064 0.942 0.675 1
Rb5 0.111 0.733 0.675 1
Rb6 0.111 0.878 0.436 1
Rb7 0.122 0.058 0.233 1
Rb8 0.122 0.564 0.889 1
Rb9 0.175 0.233 0.611 1
Rb10 0.175 0.442 0.564 1
Rb11 0.233 0.122 0.058 1
Rb12 0.233 0.611 0.175 1
Rb13 0.267 0.325 0.889 1
Rb14 0.267 0.442 0.378 1
Rb15 0.325 0.889 0.267 1
Rb16 0.325 0.936 0.058 1
Rb17 0.378 0.267 0.442 1
Rb18 0.378 0.611 0.936 1
Rb19 0.389 0.064 0.622 1
Rb20 0.389 0.825 0.767 1
Rb21 0.436 0.111 0.878 1
Rb22 0.436 0.825 0.558 1
Rb23 0.442 0.378 0.267 1
Rb24 0.442 0.564 0.175 1
Rb25 0.558 0.436 0.825 1
Rb26 0.558 0.622 0.733 1
Rb27 0.564 0.175 0.442 1
Rb28 0.564 0.889 0.122 1
Rb29 0.611 0.175 0.233 1
Rb30 0.611 0.936 0.378 1
Rb31 0.622 0.389 0.064 1
Rb32 0.622 0.733 0.558 1
Rb33 0.675 0.064 0.942 1
Rb34 0.675 0.111 0.733 1
Rb35 0.733 0.558 0.622 1
Rb36 0.733 0.675 0.111 1
Rb37 0.767 0.389 0.825 1
Rb38 0.767 0.878 0.942 1
Rb39 0.825 0.558 0.436 1
Rb40 0.825 0.767 0.389 1
Rb41 0.878 0.436 0.111 1
Rb42 0.878 0.942 0.767 1
Rb43 0.889 0.122 0.564 1
Rb44 0.889 0.267 0.325 1
Rb45 0.936 0.058 0.325 1
Rb46 0.936 0.378 0.611 1
Rb47 0.942 0.675 0.064 1
Rb48 0.942 0.767 0.878 1
Ag1 0.000 0.000 0.000 1
Ag2 0.000 0.000 0.500 1
Ag3 0.000 0.500 0.000 1
Ag4 0.000 0.500 0.500 1
Ag5 0.125 0.750 0.875 1
Ag6 0.125 0.875 0.250 1
Ag7 0.250 0.125 0.875 1
Ag8 0.250 0.625 0.375 1
Ag9 0.375 0.250 0.625 1
Ag10 0.375 0.625 0.750 1
Ag11 0.500 0.000 0.000 1
Ag12 0.500 0.000 0.500 1
Ag13 0.500 0.500 0.000 1
Ag14 0.500 0.500 0.500 1
Ag15 0.625 0.375 0.250 1
Ag16 0.625 0.750 0.375 1
Ag17 0.750 0.375 0.625 1
Ag18 0.750 0.875 0.125 1
Ag19 0.875 0.125 0.750 1
Ag20 0.875 0.250 0.125 1
Cl1 0.125 0.250 0.375 1
Cl2 0.125 0.375 0.750 1
Cl3 0.250 0.375 0.125 1
Cl4 0.250 0.875 0.625 1
Cl5 0.375 0.125 0.250 1
Cl6 0.375 0.750 0.125 1
Cl7 0.625 0.250 0.875 1
Cl8 0.625 0.875 0.750 1
Cl9 0.750 0.125 0.375 1
Cl10 0.750 0.625 0.875 1
Cl11 0.875 0.625 0.250 1
Cl12 0.875 0.750 0.625 1
# **Formation energy without anion corrections**: -0.366 eV/atom
# **Total moment**: 0.00 μB per formula unit
# **Total DFT energy (no corrections)**: -154.9 eV per cell

***

No. 6
# Rb5AgCl6 PBE relaxed
data_Rb5AgCl6
_chemical_formula_sum 'Rb5 Ag1 Cl6'
_symmetry_space_group_name_H-M 'P 1'
_symmetry_Int_Tables_number 1
_cell_length_a 8.108
_cell_length_b 8.108
_cell_length_c 7.982
_cell_angle_alpha 98.71
_cell_angle_beta 98.71
_cell_angle_gamma 120.90
loop_
_symmetry_equiv_pos_as_xyz
'x,y,z'
loop_
_atom_site_label
_atom_site_fract_x
_atom_site_fract_y
_atom_site_fract_z
_atom_site_occupancy
Rb1 0.000 0.000 0.000 1
Rb2 0.174 0.826 0.500 1
Rb3 0.337 0.663 0.000 1
Rb4 0.663 0.337 0.000 1
Rb5 0.826 0.174 0.500 1
Ag1 0.500 0.500 0.500 1
Cl1 0.073 0.406 0.239 1
Cl2 0.300 0.300 0.692 1
Cl3 0.406 0.073 0.239 1
Cl4 0.594 0.927 0.761 1
Cl5 0.700 0.700 0.308 1
Cl6 0.927 0.594 0.761 1
# **Formation energy without anion corrections**: -1.664 eV/atom
# **Total moment**: 0.00 μB per formula unit
# **Total DFT energy (no corrections)**: -38.7 eV per cell

***

No. 7
# RbAgCl2 PBE relaxed
data_RbAgCl2
_chemical_formula_sum 'Rb1 Ag1 Cl2'
_symmetry_space_group_name_H-M 'P 1'
_symmetry_Int_Tables_number 1
_cell_length_a 8.380
_cell_length_b 8.380
_cell_length_c 8.380
_cell_angle_alpha 35.26
_cell_angle_beta 35.26
_cell_angle_gamma 35.26
loop_
_symmetry_equiv_pos_as_xyz
'x,y,z'
loop_
_atom_site_label
_atom_site_fract_x
_atom_site_fract_y
_atom_site_fract_z
_atom_site_occupancy
Rb1 0.000 0.000 0.000 1
Ag1 0.500 0.500 0.500 1
Cl1 0.400 0.400 0.400 1
Cl2 0.600 0.600 0.600 1
# **Formation energy without anion corrections**: -1.191 eV/atom
# **Total moment**: 0.00 μB per formula unit
# **Total DFT energy (no corrections)**: -12.3 eV per cell

***

No. 8
# Rb2AgCl PBE relaxed
data_Rb2AgCl
_chemical_formula_sum 'Rb2 Ag1 Cl1'
_symmetry_space_group_name_H-M 'P 1'
_symmetry_Int_Tables_number 1
_cell_length_a 9.038
_cell_length_b 9.038
_cell_length_c 9.038
_cell_angle_alpha 30.75
_cell_angle_beta 30.75
_cell_angle_gamma 30.75
loop_
_symmetry_equiv_pos_as_xyz
'x,y,z'
loop_
_atom_site_label
_atom_site_fract_x
_atom_site_fract_y
_atom_site_fract_z
_atom_site_occupancy
Rb1 0.000 0.000 0.000 1
Rb2 0.184 0.184 0.184 1
Ag1 0.425 0.425 0.425 1
Cl1 0.592 0.592 0.592 1
# **Formation energy without anion corrections**: -0.873 eV/atom
# **Total moment**: 0.00 μB per formula unit
# **Total DFT energy (no corrections)**: -10.1 eV per cell